1.
# ReAg2P, optimized geometry, DFT GGA-PBE
data_ReAg2P
_space_group_name_H-M_alt 'P 1'
_space_group_IT_number 1
_cell_length_a 5.5574
_cell_length_b 5.5574
_cell_length_c 5.5574
_cell_angle_alpha 148.62
_cell_angle_beta 130.53
_cell_angle_gamma 59.76
loop_
_space_group_symop_operation_xyz
'x,y,z'
loop_
_atom_site_label
_atom_site_type_symbol
_atom_site_fract_x
_atom_site_fract_y
_atom_site_fract_z
_atom_site_occupancy
Ag1 Ag 0.7266 0.2266 0.5000 1
Ag2 Ag 0.0149 0.0149 0.0000 1
Re1 Re 0.2903 0.7903 0.5000 1
P1 P 0.4683 0.4683 0.0000 1
# Mass density: 10.7 Mg/m³


2.
# ReAg2P, optimized geometry, DFT GGA-PBE
data_ReAg2P
_space_group_name_H-M_alt 'P 1'
_space_group_IT_number 1
_cell_length_a 9.3276
_cell_length_b 9.3276
_cell_length_c 9.3276
_cell_angle_alpha 17.56
_cell_angle_beta 17.56
_cell_angle_gamma 17.56
loop_
_space_group_symop_operation_xyz
'x,y,z'
loop_
_atom_site_label
_atom_site_type_symbol
_atom_site_fract_x
_atom_site_fract_y
_atom_site_fract_z
_atom_site_occupancy
Re1 Re 0.7500 0.7500 0.7500 1
Ag1 Ag 0.9975 0.9975 0.9975 1
Ag2 Ag 0.5025 0.5025 0.5025 1
P1 P 0.2500 0.2500 0.2500 1
# Mass density: 11.1 Mg/m³


Quick rundown of calculated total energy, same order as above: -5.3809, -5.2792 eV/atom
Quick rundown of energy relative to the elements, same order as above: 0.5093, 0.6110 eV/atom
Quick rundown of Fermi-level density of states, same order as above: 0.430, 1.234 states/eV/atom